Record 1
The following is a PBE calculation of a relaxed structure of MnPPd, from Alexandria via LeMat-Bulk.

## Properties
Its formation energy is -359 meV/atom.

Lattice parameters (Å, degrees): 6.3924 6.3924 3.6282 90.00 90.00 120.00
With the nearest neighbours (Å) after each atom.
Space group P-62m (No. 189)
Unique sites:
Mn1 0.0000 0.5986 0.0000  5 P 2.57-2.66, 2 Pd 2.80
P1 0.0000 0.0000 0.0000  6 Pd 2.48, 3 Mn 2.57
P2 0.3333 0.6667 0.5000  3 Pd 2.38, 6 Mn 2.66
Pd1 0.0000 0.2648 0.5000  4 P 2.38-2.48

=====

Record 2
The following is a PBE calculation of a relaxed structure of MnP2Pd, from Alexandria via LeMat-Bulk.

## Properties
Its formation energy is 191 meV/atom.

Lattice parameters (Å, degrees): 3.7307 3.7307 17.6623 90.00 90.00 120.00
With the nearest neighbours (Å) after each atom.
Space group R-3m (No. 166, hexagonal axes)
Unique sites:
Mn1 0.0000 0.0000 0.0000  6 P 2.26
P1 0.0000 0.0000 0.3717  3 Mn 2.26, 1 Pd 2.27
Pd1 0.0000 0.0000 0.5000  2 P 2.27

=====

Record 3
The following is a PBE calculation of a relaxed structure of Mn3P6Pd20, from Alexandria via LeMat-Bulk.

## Properties
Its formation energy is -425 meV/atom.

Lattice parameters (Å, degrees): 12.0778 12.0778 12.0778 90.00 90.00 90.00
With the nearest neighbours (Å) after each atom.
Space group Fm-3m (No. 225)
Unique sites:
Mn1 0.0000 0.0000 0.0000  12 Pd 2.92, 6 P 3.21
Mn2 0.2500 0.2500 0.2500  4 Pd 2.75
P1 0.0000 0.0000 0.2658  8 Pd 2.36-2.46
Pd1 0.0000 0.1710 0.1710  2 P 2.36
Pd2 0.1187 0.1187 0.3813  3 P 2.46, 1 Mn 2.75

=====

- Among the records above, which one has the lowest formation energy?
  Mn3P6Pd20

=====

- What is the formula in the first record?
  MnPPd

=====

- Among the records above, which one has the highest formation energy?
  MnP2Pd